No. 1
The following is a DFT calculation (GGA-PBE) of a relaxed SbAuCl crystal.

```
SbAuCl
1.0
-3.4351 -1.4632 3.0625
0.6179 -4.0419 2.5693
0.7436 0.2576 4.7645
Au Sb Cl
1 1 1
direct
0.0000 0.0000 0.0000
0.2500 0.2500 0.2500
0.5000 0.5000 0.5000
```

Its offset from the most stable computed form is 370.2 meV/atom. Its density of states at the Fermi level is 2.277 states/eV/f.u. Its formation energy without anion corrections is 0.11 eV/atom.

***

No. 2
The following is a DFT calculation (GGA-PBE) of a relaxed TbLuHgRu crystal.

```
TbLuHgRu
1.0
-4.2593 0.7599 2.4861
-2.4760 -3.8694 1.9485
-0.1478 -0.6315 4.9477
Tb Hg Ru Lu
1 1 1 1
direct
0.5000 0.5000 0.5000
0.2500 0.2500 0.2500
0.7500 0.7500 0.7500
0.0000 0.0000 0.0000
```

Its density of states at the Fermi level is 4.088 states/eV/f.u. The value obtained for the calculated formation energy is -0.3735 eV/atom.

***

No. 3
The following is a DFT calculation (GGA-PBE) of a relaxed ScSe3 crystal.

```
ScSe3
1.0
-2.4104 4.3476 0.5407
0.3444 -2.4005 4.3729
4.5267 0.7111 -2.0019
Se Sc
3 1
direct
0.5000 0.5000 0.0000
0.5000 0.0000 0.5000
0.0000 0.5000 0.5000
0.0000 0.0000 0.0000
```

Its density of states at the Fermi level is 3.034 states/eV/f.u. Its formation energy without anion corrections is -0.65 eV/atom.

***

No. 4
The following is a DFT calculation (GGA-PBE) of a relaxed CaAl3Pt crystal.

```
CaAl3Pt
1.0
-2.8272 1.9493 3.3856
2.7608 -1.9600 3.4339
2.7641 3.9514 0.0331
Ca Pt Al
1 1 3
direct
0.5000 0.5000 0.5000
0.0000 0.0000 0.0000
0.0000 0.0000 0.5000
0.0000 0.5000 0.0000
0.5000 0.0000 0.0000
```

Its density of states at the Fermi level is 1.986 states/eV/f.u. The value obtained for the calculated formation energy is -0.3474 eV/atom.